Record 1
# YHgN2O (meta-GGA SCAN, single point on PBEsol structure)
# - Fermi-level density of states (states/eV per cell) = 2.73
# - E_form (uncorrected) (meV/atom) = 317
data_YHgN2O
_chemical_formula_sum 'Y1 Hg1 N2 O1'
_cell_length_a 4.535
_cell_length_b 4.535
_cell_length_c 4.234
_cell_angle_alpha 90.00
_cell_angle_beta 90.00
_cell_angle_gamma 90.00
_space_group_name_H-M_alt 'P 4/m m m'
_space_group_IT_number 123
_space_group_name_Hall '-P 4 2'
loop_
_atom_site_label
_atom_site_fract_x
_atom_site_fract_y
_atom_site_fract_z
Y1 0.000 0.000 0.000
Hg1 0.500 0.500 0.500
N1 0.000 0.500 0.000
O1 0.000 0.000 0.500



Record 2
# SrHgOsN2 (meta-GGA SCAN, single point on PBEsol structure)
# - Fermi-level density of states (states/eV per cell) = 2.09
# - E_form (uncorrected) (meV/atom) = 2449
data_SrHgOsN2
_chemical_formula_sum 'Sr1 Hg1 Os1 N2'
_cell_length_a 4.265
_cell_length_b 4.265
_cell_length_c 6.011
_cell_angle_alpha 90.00
_cell_angle_beta 90.00
_cell_angle_gamma 90.00
_space_group_name_H-M_alt 'P 4/m m m'
_space_group_IT_number 123
_space_group_name_Hall '-P 4 2'
loop_
_atom_site_label
_atom_site_fract_x
_atom_site_fract_y
_atom_site_fract_z
Sr1 0.000 0.000 0.000
Hg1 0.000 0.000 0.500
Os1 0.500 0.500 0.000
N1 0.000 0.500 0.500



Record 3
# HgPSeN2 (meta-GGA SCAN, single point on PBEsol structure)
# - Fermi-level density of states (states/eV per cell) = 2.94
# - E_form (uncorrected) (meV/atom) = 2102
data_HgPSeN2
_chemical_formula_sum 'Hg1 P1 Se1 N2'
_cell_length_a 4.036
_cell_length_b 4.036
_cell_length_c 6.139
_cell_angle_alpha 90.00
_cell_angle_beta 90.00
_cell_angle_gamma 90.00
_space_group_name_H-M_alt 'P 4/m m m'
_space_group_IT_number 123
_space_group_name_Hall '-P 4 2'
loop_
_atom_site_label
_atom_site_fract_x
_atom_site_fract_y
_atom_site_fract_z
Hg1 0.000 0.000 0.000
P1 0.500 0.500 0.500
Se1 0.000 0.000 0.500
N1 0.000 0.500 0.000



Record 4
# HgSbPd2N (meta-GGA SCAN, single point on PBEsol structure)
# - Fermi-level density of states (states/eV per cell) = 2.46
# - E_form (uncorrected) (meV/atom) = 1173
data_HgSbPd2N
_chemical_formula_sum 'Hg1 Sb1 Pd2 N1'
_cell_length_a 5.066
_cell_length_b 5.066
_cell_length_c 3.852
_cell_angle_alpha 90.00
_cell_angle_beta 90.00
_cell_angle_gamma 90.00
_space_group_name_H-M_alt 'P 4/m m m'
_space_group_IT_number 123
_space_group_name_Hall '-P 4 2'
loop_
_atom_site_label
_atom_site_fract_x
_atom_site_fract_y
_atom_site_fract_z
Hg1 0.000 0.000 0.000
Sb1 0.500 0.500 0.500
Pd1 0.000 0.500 0.000
N1 0.000 0.000 0.500



Record 5
# HgPdSeN2 (meta-GGA SCAN, single point on PBEsol structure)
# - Fermi-level density of states (states/eV per cell) = 2.52
# - E_form (uncorrected) (meV/atom) = 1610
data_HgPdSeN2
_chemical_formula_sum 'Hg1 Pd1 Se1 N2'
_cell_length_a 3.730
_cell_length_b 3.730
_cell_length_c 6.437
_cell_angle_alpha 90.00
_cell_angle_beta 90.00
_cell_angle_gamma 90.00
_space_group_name_H-M_alt 'P 4/m m m'
_space_group_IT_number 123
_space_group_name_Hall '-P 4 2'
loop_
_atom_site_label
_atom_site_fract_x
_atom_site_fract_y
_atom_site_fract_z
Hg1 0.000 0.000 0.000
Pd1 0.500 0.500 0.000
Se1 0.000 0.000 0.500
N1 0.000 0.500 0.500



Record 6
# HgPtN2 (meta-GGA SCAN, single point on PBEsol structure)
# - Fermi-level density of states (states/eV per cell) = 7.38
# - E_form (uncorrected) (meV/atom) = 1356
data_HgPtN2
_chemical_formula_sum 'Hg3 Pt3 N6'
_cell_length_a 3.2595
_cell_length_b 3.2595
_cell_length_c 18.7236
_cell_angle_alpha 90.00
_cell_angle_beta 90.00
_cell_angle_gamma 120.00
_space_group_name_H-M_alt 'R -3 m'
_space_group_IT_number 166
_space_group_name_Hall '-R 3 2"'
loop_
_atom_site_label
_atom_site_fract_x
_atom_site_fract_y
_atom_site_fract_z
Hg1 0.0000 0.0000 0.0000
Pt1 0.0000 0.0000 0.5000
N1 0.0000 0.0000 0.4009



Record 7
# Hg3PtN (meta-GGA SCAN, single point on PBEsol structure)
# - Fermi-level density of states (states/eV per cell) = 1.61
# - E_form (uncorrected) (meV/atom) = 1016
data_Hg3PtN
_chemical_formula_sum 'Hg3 Pt1 N1'
_cell_length_a 4.512
_cell_length_b 4.512
_cell_length_c 4.512
_cell_angle_alpha 90.00
_cell_angle_beta 90.00
_cell_angle_gamma 90.00
_space_group_name_H-M_alt 'P m -3 m'
_space_group_IT_number 221
_space_group_name_Hall '-P 4 2 3'
loop_
_atom_site_label
_atom_site_fract_x
_atom_site_fract_y
_atom_site_fract_z
Hg1 0.000 0.000 0.500
Pt1 0.500 0.500 0.500
N1 0.000 0.000 0.000



Record 8
# HgPtSe2N (meta-GGA SCAN, single point on PBEsol structure)
# - Fermi-level density of states (states/eV per cell) = 3.50
# - E_form (uncorrected) (meV/atom) = 515
data_HgPtSe2N
_chemical_formula_sum 'Hg1 Pt1 Se2 N1'
_cell_length_a 5.219
_cell_length_b 5.219
_cell_length_c 3.623
_cell_angle_alpha 90.00
_cell_angle_beta 90.00
_cell_angle_gamma 90.00
_space_group_name_H-M_alt 'P 4/m m m'
_space_group_IT_number 123
_space_group_name_Hall '-P 4 2'
loop_
_atom_site_label
_atom_site_fract_x
_atom_site_fract_y
_atom_site_fract_z
Hg1 0.000 0.000 0.000
Pt1 0.500 0.500 0.500
Se1 0.000 0.500 0.500
N1 0.500 0.500 0.000



Record 9
# RbHgTe2N (meta-GGA SCAN, single point on PBEsol structure)
# - Fermi-level density of states (states/eV per cell) = 2.86
# - E_form (uncorrected) (meV/atom) = 574
data_RbHgTe2N
_chemical_formula_sum 'Rb1 Hg1 Te2 N1'
_cell_length_a 6.185
_cell_length_b 6.185
_cell_length_c 3.950
_cell_angle_alpha 90.00
_cell_angle_beta 90.00
_cell_angle_gamma 90.00
_space_group_name_H-M_alt 'P 4/m m m'
_space_group_IT_number 123
_space_group_name_Hall '-P 4 2'
loop_
_atom_site_label
_atom_site_fract_x
_atom_site_fract_y
_atom_site_fract_z
Rb1 0.000 0.000 0.000
Hg1 0.500 0.500 0.500
Te1 0.000 0.500 0.500
N1 0.500 0.500 0.000



Record 10
# ReHgTe2N (meta-GGA SCAN, single point on PBEsol structure)
# - Fermi-level density of states (states/eV per cell) = 3.54
# - E_form (uncorrected) (meV/atom) = 2065
data_ReHgTe2N
_chemical_formula_sum 'Re1 Hg1 Te2 N1'
_cell_length_a 5.539
_cell_length_b 5.539
_cell_length_c 3.907
_cell_angle_alpha 90.00
_cell_angle_beta 90.00
_cell_angle_gamma 90.00
_space_group_name_H-M_alt 'P 4/m m m'
_space_group_IT_number 123
_space_group_name_Hall '-P 4 2'
loop_
_atom_site_label
_atom_site_fract_x
_atom_site_fract_y
_atom_site_fract_z
Re1 0.000 0.000 0.000
Hg1 0.500 0.500 0.500
Te1 0.000 0.500 0.500
N1 0.500 0.500 0.000



Record 11
# ReHgTeN2 (meta-GGA SCAN, single point on PBEsol structure)
# - Fermi-level density of states (states/eV per cell) = 2.60
# - E_form (uncorrected) (meV/atom) = 488
data_ReHgTeN2
_chemical_formula_sum 'Re1 Hg1 Te1 N2'
_cell_length_a 3.908
_cell_length_b 3.908
_cell_length_c 5.669
_cell_angle_alpha 90.00
_cell_angle_beta 90.00
_cell_angle_gamma 90.00
_space_group_name_H-M_alt 'P 4/m m m'
_space_group_IT_number 123
_space_group_name_Hall '-P 4 2'
loop_
_atom_site_label
_atom_site_fract_x
_atom_site_fract_y
_atom_site_fract_z
Re1 0.000 0.000 0.000
Hg1 0.500 0.500 0.500
Te1 0.000 0.000 0.500
N1 0.000 0.500 0.000



Record 12
# Hg2RhSeN (meta-GGA SCAN, single point on PBEsol structure)
# - Fermi-level density of states (states/eV per cell) = 2.13
# - E_form (uncorrected) (meV/atom) = 952
data_Hg2RhSeN
_chemical_formula_sum 'Hg2 Rh1 Se1 N1'
_cell_length_a 5.246
_cell_length_b 5.246
_cell_length_c 4.568
_cell_angle_alpha 90.00
_cell_angle_beta 90.00
_cell_angle_gamma 90.00
_space_group_name_H-M_alt 'P 4/m m m'
_space_group_IT_number 123
_space_group_name_Hall '-P 4 2'
loop_
_atom_site_label
_atom_site_fract_x
_atom_site_fract_y
_atom_site_fract_z
Hg1 0.000 0.500 0.000
Rh1 0.000 0.000 0.000
Se1 0.000 0.000 0.500
N1 0.500 0.500 0.500